No. 1
Here is Mn2TeRu after structural relaxation from the Alexandria database. Energies are from PBE.

Structure (CIF):
```
data_Mn2TeRu
_cell_length_a 5.4022
_cell_length_b 5.4022
_cell_length_c 11.2247
_cell_angle_alpha 90.00
_cell_angle_beta 90.00
_cell_angle_gamma 90.00
_space_group_name_H-M_alt 'I -4 2 d'
_space_group_IT_number 122
_space_group_name_Hall 'I -4 2bw'
loop_
_atom_site_label
_atom_site_fract_x
_atom_site_fract_y
_atom_site_fract_z
Mn1 0.2093 0.2500 0.1250
Te1 0.0000 0.0000 0.5000
Ru1 0.0000 0.0000 0.0000
```

Values from the calculation:
Formation energy from raw total energies, meV/atom: 909
Total magnetic moment, Bohr magnetons per cell: 0.00
Calculated total energy, eV per cell: -108.477
DOS(E_F), states/eV/cell: 13.6

---

No. 2
Here is MnTeRu after structural relaxation from the Alexandria database. Energies are from PBE.

Structure (CIF):
```
data_MnTeRu
_cell_length_a 3.2140
_cell_length_b 3.2140
_cell_length_c 6.0866
_cell_angle_alpha 90.00
_cell_angle_beta 90.00
_cell_angle_gamma 120.00
_space_group_name_H-M_alt 'P 3 m 1'
_space_group_IT_number 156
_space_group_name_Hall 'P 3 -2"'
loop_
_atom_site_label
_atom_site_fract_x
_atom_site_fract_y
_atom_site_fract_z
Mn1 0.0000 0.0000 0.0000
Te1 0.3333 0.6667 0.6308
Ru1 0.6667 0.3333 0.3000
```

Values from the calculation:
Formation energy from raw total energies, meV/atom: 431
Total magnetic moment, Bohr magnetons per cell: 3.87
Calculated total energy, eV per cell: -20.293
Energy above the most stable polymorph in this dataset, kJ/mol of formula units: 126.6
DOS(E_F), states/eV/cell: 3.2